V2NiCF after structural relaxation. Source: Alexandria, functional PBE+U.

abc: 4.5547 3.5057 4.5547
angles: 90.00 90.00 90.00
Last column: magnetic moment on the atom in μB.
Atoms (fractional coordinates):
Ni: 0.0000 0.0000 0.0000  -0.47
C: 0.5000 0.5000 0.5000  0.15
F: 0.0000 0.5000 0.0000  -0.01
V: 0.0000 0.0000 0.5000  -0.33
V: 0.5000 0.0000 0.0000  -0.67

Results
* total magnetization: 0.25 μB/atom
* V: 73 Å³/f.u.
* E: -3.76 eV per atom